This record from Alexandria describes GeP2Pt6 after structural relaxation. The functional is PBE-GGA.

Properties
Total moment, μB/atom: 0.000
Total DFT energy (no corrections), eV for the cell shown: -216.6
Theoretical density, g/cm3: 13.81

Cell: 12.618 10.158 5.333 Å, 90.00 113.35 90.00°
Space group C2/c (No. 15)
Asymmetric unit:
Ge1 0.000 0.235 0.250 x4
P1 0.230 0.136 0.682 x8
Pt1 0.082 0.393 0.013 x8
Pt2 0.108 0.024 0.238 x8
Pt3 0.165 0.354 0.614 x8